# 1
This record from the Alexandria database describes crystalline PrYAlPd at its relaxed geometry. The functional is PBE.

Values from the calculation:
- formation energy (kJ per mole of atoms) = -55.4
- electronic total energy (eV/atom) = -5.62

Cell lengths 4.4104, 6.0763, 6.0763 Å; angles 38.07, 90.00, 90.00 degrees
Last column: nearest neighbours and their distance in Å.
Positions (direct):
Pr1 0.0000 0.0000 0.0000  4 Al 3.13, 3 Pd 3.17-3.25
Y1 0.5000 0.7067 0.7067  4 Pd 3.07, 3 Al 3.08-3.38
Al1 0.5000 0.4122 0.4122  2 Pd 2.71
Pd1 0.0000 0.2757 0.2757  2 Al 2.71


# 2
This record from the Alexandria database describes crystalline PrY2AlPd4 at its relaxed geometry. The functional is PBE.

Values from the calculation:
- formation energy (kJ per mole of atoms) = -76.6
- electronic total energy (eV/atom) = -6.07

Cell lengths 8.6987, 8.6987, 8.6987 Å; angles 32.33, 32.33, 32.33 degrees
Last column: nearest neighbours and their distance in Å.
Positions (direct):
Pr1 0.0000 0.0000 0.0000  8 Pd 3.17-3.18
Y1 0.2422 0.2422 0.2422  7 Pd 2.82-2.94
Y2 0.7578 0.7578 0.7578  7 Pd 2.82-2.94
Al1 0.5000 0.5000 0.5000  2 Pd 2.61
Pd1 0.1282 0.1282 0.1282  4 Y 2.82-2.94, 3 Al 2.95
Pd2 0.3944 0.3944 0.3944  1 Al 2.61, 3 Y 2.89
Pd3 0.6056 0.6056 0.6056  1 Al 2.61, 3 Y 2.89
Pd4 0.8718 0.8718 0.8718  4 Y 2.82-2.94, 3 Al 2.95


# 3
This record from the Alexandria database describes crystalline PrYAlPd at its relaxed geometry. The functional is PBE.

Values from the calculation:
- formation energy (kJ per mole of atoms) = -49.0
- electronic total energy (eV/atom) = -5.55

Cell lengths 5.1735, 5.1735, 5.1735 Å; angles 60.00, 60.00, 60.00 degrees
Last column: nearest neighbours and their distance in Å.
Positions (direct):
Pr1 0.0000 0.0000 0.0000  4 Pd 3.17, 4 Al 3.17
Y1 0.5000 0.5000 0.5000  4 Pd 3.17, 4 Al 3.17
Al1 0.2500 0.2500 0.2500  4 Pr 3.17, 4 Y 3.17
Pd1 0.7500 0.7500 0.7500  4 Pr 3.17, 4 Y 3.17


# 4
This record from the Alexandria database describes crystalline Pr2Al3ZnPd4 at its relaxed geometry. The functional is PBE.

Values from the calculation:
- formation energy (kJ per mole of atoms) = -77.1
- electronic total energy (eV/atom) = -5.08

Cell lengths 4.3765, 4.3765, 10.2187 Å; angles 90.00, 90.00, 90.00 degrees
Last column: nearest neighbours and their distance in Å.
Positions (direct):
Pr1 0.0000 0.5000 0.2491  8 Pd 3.32-3.36, 6 Al 3.35-3.37, 2 Zn 3.37
Pr2 0.5000 0.0000 0.7509  8 Pd 3.32-3.36, 6 Al 3.35-3.37, 2 Zn 3.37
Al1 0.0000 0.5000 0.8765  5 Pd 2.50-2.53
Al2 0.5000 0.0000 0.1235  5 Pd 2.50-2.53
Al3 0.5000 0.5000 0.5000  4 Pd 2.57
Zn1 0.0000 0.0000 0.5000  4 Pd 2.57
Pd1 0.0000 0.0000 0.0000  4 Al 2.53
Pd2 0.0000 0.5000 0.6321  3 Al 2.50-2.57, 2 Zn 2.57
Pd3 0.5000 0.0000 0.3679  3 Al 2.50-2.57, 2 Zn 2.57
Pd4 0.5000 0.5000 0.0000  4 Al 2.53


# 5
This record from the Alexandria database describes crystalline PrAl4Zn2Pd at its relaxed geometry. The functional is PBE.

Values from the calculation:
- formation energy (kJ per mole of atoms) = -36.9
- electronic total energy (eV/atom) = -3.82

Cell lengths 9.4710, 9.4710, 9.4710 Å; angles 26.48, 26.48, 26.48 degrees
Last column: nearest neighbours and their distance in Å.
Positions (direct):
Pr1 0.0000 0.0000 0.0000  6 Al 3.21, 6 Zn 3.22
Al1 0.1324 0.1324 0.1324  3 Pd 2.67, 3 Zn 2.97, 3 Al 2.98
Al2 0.4069 0.4069 0.4069  3 Zn 2.50, 1 Pd 2.55
Al3 0.5931 0.5931 0.5931  3 Zn 2.50, 1 Pd 2.55
Al4 0.8676 0.8676 0.8676  3 Pd 2.67, 3 Zn 2.97, 3 Al 2.98
Zn1 0.2592 0.2592 0.2592  3 Al 2.50
Zn2 0.7408 0.7408 0.7408  3 Al 2.50
Pd1 0.5000 0.5000 0.5000  8 Al 2.55-2.67


# 6
This record from the Alexandria database describes crystalline Pr3Al2ZnPd9 at its relaxed geometry. The functional is PBE.

Values from the calculation:
- formation energy (kJ per mole of atoms) = -57.9
- electronic total energy (eV/atom) = -5.26

Cell lengths 5.8098, 5.8098, 10.8580 Å; angles 90.00, 90.00, 120.00 degrees
Last column: nearest neighbours and their distance in Å.
Positions (direct):
Pr1 0.0000 0.0000 0.0000  6 Pd 2.90
Pr2 0.3333 0.6667 0.6062  6 Pd 3.00
Pr3 0.6667 0.3333 0.3938  6 Pd 3.00
Al1 0.3333 0.6667 0.1650  6 Pd 2.42-2.45
Al2 0.6667 0.3333 0.8350  6 Pd 2.42-2.45
Zn1 0.0000 0.0000 0.5000  6 Pd 2.53
Pd1 0.0000 0.5000 0.0000  2 Al 2.45
Pd2 0.1641 0.3283 0.3240  1 Al 2.42, 1 Zn 2.53
Pd3 0.1641 0.8359 0.3240  1 Al 2.42, 1 Zn 2.53
Pd4 0.3283 0.1641 0.6760  1 Al 2.42, 1 Zn 2.53
Pd5 0.5000 0.0000 0.0000  2 Al 2.45
Pd6 0.5000 0.5000 0.0000  2 Al 2.45
Pd7 0.6717 0.8359 0.3240  1 Al 2.42, 1 Zn 2.53
Pd8 0.8359 0.1641 0.6760  1 Al 2.42, 1 Zn 2.53
Pd9 0.8359 0.6717 0.6760  1 Al 2.42, 1 Zn 2.53


# 7
This record from the Alexandria database describes crystalline PrAlZn2Pd4 at its relaxed geometry. The functional is PBE.

Values from the calculation:
- formation energy (kJ per mole of atoms) = -65.7
- electronic total energy (eV/atom) = -4.66

Cell lengths 8.9201, 8.9201, 8.9201 Å; angles 28.24, 28.24, 28.24 degrees
Last column: nearest neighbours and their distance in Å.
Positions (direct):
Pr1 0.0000 0.0000 0.0000  8 Pd 3.09-3.43
Al1 0.5000 0.5000 0.5000  8 Pd 2.48-2.65
Zn1 0.2402 0.2402 0.2402  7 Pd 2.58-2.74
Zn2 0.7598 0.7598 0.7598  7 Pd 2.58-2.74
Pd1 0.1334 0.1334 0.1334  3 Al 2.65, 4 Zn 2.72-2.74
Pd2 0.4033 0.4033 0.4033  1 Al 2.48, 3 Zn 2.58
Pd3 0.5967 0.5967 0.5967  1 Al 2.48, 3 Zn 2.58
Pd4 0.8666 0.8666 0.8666  3 Al 2.65, 4 Zn 2.72-2.74


# 8
This record from the Alexandria database describes crystalline PrAl2ZnPd2 at its relaxed geometry. The functional is PBE.

Values from the calculation:
- formation energy (kJ per mole of atoms) = -39.9
- electronic total energy (eV/atom) = -4.40

Cell lengths 4.6618, 4.6618, 5.6609 Å; angles 90.00, 90.00, 90.00 degrees
Last column: nearest neighbours and their distance in Å.
Positions (direct):
Pr1 0.0000 0.0000 0.0000  2 Zn 2.83
Al1 0.5000 0.5000 0.2483  4 Pd 2.73, 2 Al 2.81-2.85
Al2 0.5000 0.5000 0.7517  4 Pd 2.73, 2 Al 2.81-2.85
Zn1 0.0000 0.0000 0.5000  4 Pd 2.33
Pd1 0.0000 0.5000 0.5000  2 Zn 2.33
Pd2 0.5000 0.0000 0.5000  2 Zn 2.33


# 9
This record from the Alexandria database describes crystalline Pr2Al4Zn3Pd at its relaxed geometry. The functional is PBE.

Values from the calculation:
- formation energy (kJ per mole of atoms) = -49.9
- electronic total energy (eV/atom) = -3.87

Cell lengths 4.2720, 4.2720, 10.7730 Å; angles 90.00, 90.00, 90.00 degrees
Last column: nearest neighbours and their distance in Å.
Positions (direct):
Pr1 0.0000 0.5000 0.2500  6 Zn 3.25-3.44, 8 Al 3.30-3.44, 2 Pd 3.44
Pr2 0.5000 0.0000 0.7500  6 Zn 3.25-3.44, 8 Al 3.30-3.44, 2 Pd 3.44
Al1 0.0000 0.0000 0.0000  4 Zn 2.61
Al2 0.0000 0.5000 0.6271  3 Zn 2.53-2.54, 2 Pd 2.54
Al3 0.5000 0.0000 0.3729  3 Zn 2.53-2.54, 2 Pd 2.54
Al4 0.5000 0.5000 0.0000  4 Zn 2.61
Zn1 0.0000 0.5000 0.8616  5 Al 2.53-2.61
Zn2 0.5000 0.0000 0.1384  5 Al 2.53-2.61
Zn3 0.5000 0.5000 0.5000  4 Al 2.54
Pd1 0.0000 0.0000 0.5000  4 Al 2.54


# 10
This record from the Alexandria database describes crystalline PrAlZn4Pd2 at its relaxed geometry. The functional is PBE.

Values from the calculation:
- formation energy (kJ per mole of atoms) = -35.8
- electronic total energy (eV/atom) = -3.37

Cell lengths 9.1889, 9.1889, 9.1889 Å; angles 27.33, 27.33, 27.33 degrees
Last column: nearest neighbours and their distance in Å.
Positions (direct):
Pr1 0.0000 0.0000 0.0000  8 Zn 3.08-3.37
Al1 0.5000 0.5000 0.5000  8 Zn 2.62-2.72
Zn1 0.1270 0.1270 0.1270  4 Pd 2.59-2.74, 3 Al 2.72
Zn2 0.4011 0.4011 0.4011  1 Al 2.62, 3 Pd 2.68
Zn3 0.5989 0.5989 0.5989  1 Al 2.62, 3 Pd 2.68
Zn4 0.8730 0.8730 0.8730  4 Pd 2.59-2.74, 3 Al 2.72
Pd1 0.2303 0.2303 0.2303  7 Zn 2.59-2.74
Pd2 0.7697 0.7697 0.7697  7 Zn 2.59-2.74